A geometry-optimized Li2MnTcN4 structure, computed with PBE.

The structure in POSCAR format:
```
Li2MnTcN4
1.0
5.329 0.000 0.000
0.000 5.670 0.000
0.000 0.000 6.219
Li Mn Tc N
4 2 2 8
Direct
0.497 0.321 0.250
0.497 0.321 0.750
0.997 0.679 0.750
0.997 0.679 0.250
0.503 0.828 0.500
0.003 0.172 0.000
0.003 0.167 0.500
0.503 0.833 0.000
0.330 0.116 0.000
0.830 0.884 0.500
0.346 0.099 0.500
0.846 0.901 0.000
0.412 0.678 0.742
0.912 0.322 0.242
0.912 0.322 0.758
0.412 0.678 0.258
```

Computed properties:
For the uncorrected energy, the calculation gives -117.66 eV/cell. The density of states at the Fermi level comes out at 8.311 states/eV per cell. The space-group type is No. 31.